# 1
Here is Y4Ni5 after structural relaxation from Alexandria via LeMat-Bulk. Energies are from PBE.

```
Y4Ni5
1.0
-4.598 4.598 2.046
4.598 -4.598 2.046
4.598 4.598 -2.046
Y Ni
4 5
direct
0.000 0.287 0.287
0.000 0.713 0.713
0.287 0.000 0.287
0.713 0.000 0.713
0.000 0.000 0.000
0.360 0.360 0.719
0.360 0.640 0.000
0.640 0.360 0.000
0.640 0.640 0.281
```

Computed properties:
The value obtained for the calculated total energy is -6.2756 eV per atom. The symmetry is I4/mmm, No. 139.

***

# 2
Here is PuUIrOs after structural relaxation from Alexandria via LeMat-Bulk. Energies are from PBE.

```
PuUIrOs
1.0
6.796 0.000 0.000
0.000 6.796 0.000
0.000 0.000 6.796
Pu U Ir Os
4 4 4 4
direct
0.000 0.000 0.000
0.000 0.500 0.500
0.500 0.000 0.500
0.500 0.500 0.000
0.000 0.000 0.500
0.000 0.500 0.000
0.500 0.000 0.000
0.500 0.500 0.500
0.250 0.250 0.250
0.250 0.750 0.750
0.750 0.250 0.750
0.750 0.750 0.250
0.250 0.250 0.750
0.250 0.750 0.250
0.750 0.250 0.250
0.750 0.750 0.750
```

Computed properties:
The value obtained for the calculated total energy is -11.5517 eV per atom. The symmetry is F-43m, No. 216.

***

# 3
Here is AgPtS2 after structural relaxation from Alexandria via LeMat-Bulk. Energies are from PBE.

```
AgPtS2
1.0
5.631 0.000 0.000
0.000 5.631 0.000
0.000 0.000 11.067
Ag Pt S
4 4 8
direct
0.000 0.000 0.000
0.000 0.500 0.250
0.500 0.000 0.750
0.500 0.500 0.500
0.000 0.000 0.500
0.000 0.500 0.750
0.500 0.000 0.250
0.500 0.500 0.000
0.213 0.250 0.625
0.250 0.713 0.875
0.250 0.787 0.375
0.287 0.250 0.125
0.713 0.750 0.125
0.750 0.213 0.375
0.750 0.287 0.875
0.787 0.750 0.625
```

Computed properties:
As for the uncorrected formation energy: 2 kJ/mol of atoms. The symmetry is I-42d, No. 122.

***

# 4
Here is AcTlSn after structural relaxation from Alexandria via LeMat-Bulk. Energies are from PBE.

```
AcTlSn
1.0
7.796 0.000 0.000
0.000 7.796 0.000
0.000 0.000 7.796
Ac Tl Sn
4 4 4
direct
0.000 0.000 0.000
0.000 0.500 0.500
0.500 0.000 0.500
0.500 0.500 0.000
0.250 0.250 0.750
0.250 0.750 0.250
0.750 0.250 0.250
0.750 0.750 0.750
0.250 0.250 0.250
0.250 0.750 0.750
0.750 0.250 0.750
0.750 0.750 0.250
```

Computed properties:
The value obtained for the calculated total energy is -3.6495 eV per atom. The symmetry is F-43m, No. 216.

***

# 5
Here is Ca2TlFeCl after structural relaxation from Alexandria via LeMat-Bulk. Energies are from PBE.

```
Ca2TlFeCl
1.0
5.723 0.000 0.000
0.000 5.723 0.000
0.000 0.000 4.087
Ca Tl Fe Cl
2 1 1 1
direct
0.000 0.500 0.000
0.500 0.000 0.000
0.000 0.000 0.500
0.500 0.500 0.000
0.500 0.500 0.500
```

Computed properties:
As for the uncorrected formation energy: 0 kJ/mol of atoms. The symmetry is P4/mmm, No. 123.

***

# 6
Here is Mn2CuBr after structural relaxation from Alexandria via LeMat-Bulk. Energies are from PBE.

```
Mn2CuBr
1.0
3.294 0.000 0.000
0.000 3.257 0.000
-0.008 0.000 6.815
Mn Cu Br
2 1 1
direct
0.000 0.000 0.000
0.499 0.500 0.780
0.999 0.000 0.609
0.000 0.500 0.299
```

Computed properties:
As for the uncorrected formation energy: 31 kJ/mol of atoms. The symmetry is Pm, No. 6.

***

# 7
Here is BaSi12Pd7 after structural relaxation from Alexandria via LeMat-Bulk. Energies are from PBE.

```
BaSi12Pd7
1.0
6.343 3.662 2.360
-6.343 3.662 2.360
0.000 -7.324 2.360
Ba Si Pd
1 12 7
direct
0.000 0.000 0.000
0.000 0.261 0.739
0.000 0.739 0.261
0.123 0.458 0.458
0.261 0.000 0.739
0.261 0.739 0.000
0.458 0.123 0.458
0.458 0.458 0.123
0.542 0.542 0.877
0.542 0.877 0.542
0.739 0.000 0.261
0.739 0.261 0.000
0.877 0.542 0.542
0.178 0.178 0.528
0.178 0.528 0.178
0.472 0.822 0.822
0.500 0.500 0.500
0.528 0.178 0.178
0.822 0.472 0.822
0.822 0.822 0.472
```

Computed properties:
As for the uncorrected formation energy: -19 kJ/mol of atoms. The symmetry is R-3m, No. 166.

***

# 8
Here is Ag2RuBr after structural relaxation from Alexandria via LeMat-Bulk. Energies are from PBE.

```
Ag2RuBr
1.0
5.450 0.000 0.000
0.000 9.460 0.000
0.000 0.000 2.842
Ag Ru Br
4 2 2
direct
0.250 0.250 0.000
0.250 0.750 0.000
0.750 0.250 0.000
0.750 0.750 0.000
0.000 0.000 0.500
0.500 0.500 0.500
0.000 0.500 0.500
0.500 0.000 0.500
```

Computed properties:
As for the uncorrected formation energy: 66 kJ/mol of atoms. The symmetry is Cmmm, No. 65.

***

# 9
Here is Sc6FeAg2 after structural relaxation from Alexandria via LeMat-Bulk. Energies are from PBE.

```
Sc6FeAg2
1.0
3.600 0.000 0.000
0.000 7.002 3.755
0.000 -7.002 3.755
Sc Fe Ag
6 1 2
direct
0.000 0.000 0.000
0.000 0.530 0.772
0.000 0.772 0.530
0.500 0.171 0.776
0.500 0.373 0.373
0.500 0.776 0.171
0.500 0.750 0.750
0.000 0.103 0.436
0.000 0.436 0.103
```

Computed properties:
The value obtained for the calculated total energy is -5.9270 eV per atom. The symmetry is Amm2, No. 38.

***

Please write out number 6 again, unchanged.
Here is Mn2CuBr after structural relaxation from Alexandria via LeMat-Bulk. Energies are from PBE.

```
Mn2CuBr
1.0
3.294 0.000 0.000
0.000 3.257 0.000
-0.008 0.000 6.815
Mn Cu Br
2 1 1
direct
0.000 0.000 0.000
0.499 0.500 0.780
0.999 0.000 0.609
0.000 0.500 0.299
```

Computed properties:
As for the uncorrected formation energy: 31 kJ/mol of atoms. The symmetry is Pm, No. 6.